Compound: Gd2IrPd
Source: Alexandria via LeMat-Bulk
Functional: PBE
Structure: optimized geometry

abc: 4.102 4.102 7.039
angles: 73.06 73.06 60.00
Each line ends with the local moment (μB).
Fractional coordinates of all 4 atoms:
Gd  0.756  0.756  0.733  -7.00
Gd  0.244  0.244  0.267  -7.00
Pd  0.000  0.000  0.000  -0.01
Ir  0.500  0.500  0.500  0.02

Excess energy over the best structure of this formula in the dataset in eV per atom: 0.167
Total energy in eV/f.u.: -44.9
Magnetization in μB/cell: 14.23
Formation energy in eV/atom: -0.6640
DOS(E_F) in states/eV/f.u.: 2.12